Model one:
The following is a DFT calculation (GGA-PBE) of an optimized crystal structure of Mn3AuC.

Unit cell a=4.933 b=4.933 c=4.933 alpha=90.00 beta=90.00 gamma=90.00
Space group Pm-3m (No. 221)
Inequivalent atoms, fractional coordinates:
Mn  0.000  0.000  0.500 [3 per cell]
Au  0.000  0.000  0.000 [1 per cell]
C  0.500  0.500  0.500 [1 per cell]

## Properties
Crystal system = cubic
Volume = 120.0 Å³ per cell

Model two:
The following is a DFT calculation (GGA-PBE) of an optimized crystal structure of Mn3AuC.

Unit cell a=3.984 b=3.984 c=3.984 alpha=90.00 beta=90.00 gamma=90.00
Space group Pm-3m (No. 221)
Inequivalent atoms, fractional coordinates:
Mn  0.000  0.000  0.500 [3 per cell]
Au  0.500  0.500  0.500 [1 per cell]
C  0.000  0.000  0.000 [1 per cell]

## Properties
Crystal system = cubic
Volume = 63.3 Å³ per cell

Relative energies in eV/atom: model one 2.070; model two 0.000

Model one:
The following is a DFT calculation (GGA-PBE) of an optimized crystal structure of MnAu3C.

Unit cell a=4.755 b=4.755 c=4.755 alpha=90.00 beta=90.00 gamma=90.00
Space group Pm-3m (No. 221)
Inequivalent atoms, fractional coordinates:
Mn  0.000  0.000  0.000 [1 per cell]
Au  0.000  0.000  0.500 [3 per cell]
C  0.500  0.500  0.500 [1 per cell]

## Properties
Crystal system = cubic
Volume = 107.5 Å³ per cell

Model two:
The following is a DFT calculation (GGA-PBE) of an optimized crystal structure of MnAu3C.

Unit cell a=4.352 b=4.352 c=4.352 alpha=90.00 beta=90.00 gamma=90.00
Space group Pm-3m (No. 221)
Inequivalent atoms, fractional coordinates:
Mn  0.000  0.000  0.000 [1 per cell]
Au  0.000  0.500  0.500 [3 per cell]
C  0.500  0.500  0.500 [1 per cell]

## Properties
Crystal system = cubic
Volume = 82.4 Å³ per cell

Relative energies in eV/atom: model one 1.669; model two 0.000

Model one:
The following is a DFT calculation (GGA-PBE) of an optimized crystal structure of MnPAuC.

Unit cell a=2.689 b=2.753 c=13.995 alpha=90.00 beta=90.00 gamma=90.00
Space group Amm2 (No. 38)
Inequivalent atoms, fractional coordinates:
Mn  0.000  0.000  0.000 [2 per cell]
P  0.500  0.000  0.866 [2 per cell]
Au  0.500  0.000  0.691 [2 per cell]
C  0.500  0.000  0.540 [2 per cell]

## Properties
Crystal system = orthorhombic
Volume = 103.6 Å³ per cell

Model two:
The following is a DFT calculation (GGA-PBE) of an optimized crystal structure of MnPAuC.

Unit cell a=7.325 b=2.914 c=6.424 alpha=90.00 beta=120.23 gamma=90.00
Space group Cm (No. 8)
Inequivalent atoms, fractional coordinates:
Mn  0.000  0.000  0.000 [2 per cell]
P  0.116  0.500  0.783 [2 per cell]
Au  0.447  0.000  0.361 [2 per cell]
C  0.268  0.000  0.967 [2 per cell]

## Properties
Crystal system = monoclinic
Volume = 118.5 Å³ per cell

Relative energies in eV/atom: model one 0.047; model two 0.000

Model one:
The following is a DFT calculation (GGA-PBE) of an optimized crystal structure of MnPAuC.

Unit cell a=3.107 b=3.389 c=5.576 alpha=90.00 beta=90.00 gamma=90.00
Space group Pmm2 (No. 25)
Inequivalent atoms, fractional coordinates:
Mn  0.000  0.000  0.000 [1 per cell]
P  0.500  0.000  0.719 [1 per cell]
Au  0.500  0.500  0.399 [1 per cell]
C  0.000  0.500  0.116 [1 per cell]

## Properties
Crystal system = orthorhombic
Volume = 58.7 Å³ per cell

Model two:
The following is a DFT calculation (GGA-PBE) of an optimized crystal structure of MnPAuC.

Unit cell a=3.120 b=3.141 c=6.716 alpha=76.56 beta=76.61 gamma=60.50
Space group P1 (No. 1)
Inequivalent atoms, fractional coordinates:
Mn  0.000  0.000  0.000 [1 per cell]
P  0.411  0.414  0.765 [1 per cell]
Au  0.533  0.536  0.399 [1 per cell]
C  0.642  0.637  0.074 [1 per cell]

## Properties
Crystal system = triclinic
Volume = 55.2 Å³ per cell

Model three:
The following is a DFT calculation (GGA-PBE) of an optimized crystal structure of MnPAuC.

Unit cell a=3.006 b=3.367 c=5.739 alpha=84.23 beta=82.39 gamma=66.91
Space group P1 (No. 1)
Inequivalent atoms, fractional coordinates:
Mn  0.000  0.000  0.000 [1 per cell]
P  0.431  0.945  0.301 [1 per cell]
Au  0.327  0.441  0.635 [1 per cell]
C  0.680  0.612  0.036 [1 per cell]

## Properties
Crystal system = triclinic
Volume = 52.9 Å³ per cell

Model four:
The following is a DFT calculation (GGA-PBE) of an optimized crystal structure of MnPAuC.

Unit cell a=3.1444 b=3.1444 c=6.4732 alpha=90.00 beta=90.00 gamma=120.00
Space group P3m1 (No. 156)
Inequivalent atoms, fractional coordinates:
Mn  0.0000  0.0000  0.0000 [1 per cell]
P  0.6667  0.3333  0.7821 [1 per cell]
Au  0.6667  0.3333  0.4132 [1 per cell]
C  0.6667  0.3333  0.0881 [1 per cell]

## Properties
Crystal system = trigonal
Volume = 55.4 Å³ per cell

Relative energies in eV/atom: model one 0.267; model two 0.119; model three 0.184; model four 0.000

Model one:
The following is a DFT calculation (GGA-PBE) of an optimized crystal structure of MnPAuC.

Unit cell a=7.895 b=3.769 c=3.638 alpha=90.00 beta=103.84 gamma=90.00
Space group Cm (No. 8)
Inequivalent atoms, fractional coordinates:
Mn  0.000  0.000  0.000 [2 per cell]
P  0.187  0.500  0.090 [2 per cell]
Au  0.271  0.000  0.662 [2 per cell]
C  0.396  0.500  0.435 [2 per cell]

## Properties
Crystal system = monoclinic
Volume = 105.1 Å³ per cell

Model two:
The following is a DFT calculation (GGA-PBE) of an optimized crystal structure of MnPAuC.

Unit cell a=3.8967 b=3.8967 c=13.4537 alpha=90.00 beta=90.00 gamma=120.00
Space group R3m (No. 160, hexagonal axes)
Inequivalent atoms, fractional coordinates:
Mn  0.0000  0.0000  0.0000 [3 per cell]
P  0.0000  0.0000  0.7269 [3 per cell]
Au  0.0000  0.0000  0.2152 [3 per cell]
C  0.0000  0.0000  0.8588 [3 per cell]

## Properties
Crystal system = trigonal
Volume = 176.9 Å³ per cell

Relative energies in eV/atom: model one 0.017; model two 0.000

Model one:
The following is a DFT calculation (GGA-PBE) of an optimized crystal structure of MnSnAuC.

Unit cell a=3.261 b=3.279 c=7.164 alpha=77.09 beta=76.94 gamma=60.55
Space group P1 (No. 1)
Inequivalent atoms, fractional coordinates:
Mn  0.000  0.000  0.000 [1 per cell]
Sn  0.123  0.122  0.620 [1 per cell]
Au  0.562  0.561  0.312 [1 per cell]
C  0.670  0.667  0.988 [1 per cell]

## Properties
Crystal system = triclinic
Volume = 64.4 Å³ per cell

Model two:
The following is a DFT calculation (GGA-PBE) of an optimized crystal structure of MnSnAuC.

Unit cell a=3.250 b=4.573 c=4.955 alpha=69.31 beta=86.03 gamma=70.55
Space group P1 (No. 1)
Inequivalent atoms, fractional coordinates:
Mn  0.000  0.000  0.000 [1 per cell]
Sn  0.640  0.400  0.286 [1 per cell]
Au  0.975  0.649  0.619 [1 per cell]
C  0.559  0.913  0.882 [1 per cell]

## Properties
Crystal system = triclinic
Volume = 64.9 Å³ per cell

Model three:
The following is a DFT calculation (GGA-PBE) of an optimized crystal structure of MnSnAuC.

Unit cell a=3.2717 b=3.2717 c=6.7091 alpha=90.00 beta=90.00 gamma=120.00
Space group P3m1 (No. 156)
Inequivalent atoms, fractional coordinates:
Mn  0.0000  0.0000  0.0000 [1 per cell]
Sn  0.6667  0.3333  0.3209 [1 per cell]
Au  0.3333  0.6667  0.6526 [1 per cell]
C  0.3333  0.6667  0.9765 [1 per cell]

## Properties
Crystal system = trigonal
Volume = 62.2 Å³ per cell

Relative energies in eV/atom: model one 0.012; model two 0.208; model three 0.000

Model one:
The following is a DFT calculation (GGA-PBE) of an optimized crystal structure of MnSnAuC.

Unit cell a=3.2699 b=3.2699 c=20.8165 alpha=90.00 beta=90.00 gamma=120.00
Space group R3m (No. 160, hexagonal axes)
Inequivalent atoms, fractional coordinates:
Mn  0.0000  0.0000  0.0000 [3 per cell]
Sn  0.0000  0.0000  0.4297 [3 per cell]
Au  0.0000  0.0000  0.5597 [3 per cell]
C  0.0000  0.0000  0.6654 [3 per cell]

## Properties
Crystal system = trigonal
Volume = 192.8 Å³ per cell

Model two:
The following is a DFT calculation (GGA-PBE) of an optimized crystal structure of MnSnAuC.

Unit cell a=3.107 b=4.849 c=5.207 alpha=63.67 beta=89.91 gamma=71.34
Space group P1 (No. 1)
Inequivalent atoms, fractional coordinates:
Mn  0.000  0.000  0.000 [1 per cell]
Sn  0.216  0.569  0.754 [1 per cell]
Au  0.883  0.234  0.401 [1 per cell]
C  0.623  0.752  0.115 [1 per cell]

## Properties
Crystal system = triclinic
Volume = 65.7 Å³ per cell

Relative energies in eV/atom: model one 0.000; model two 0.134

Model one:
The following is a DFT calculation (GGA-PBE) of an optimized crystal structure of MnSnAuC.

Unit cell a=3.2303 b=3.2303 c=7.0080 alpha=90.00 beta=90.00 gamma=120.00
Space group P3m1 (No. 156)
Inequivalent atoms, fractional coordinates:
Mn  0.0000  0.0000  0.0000 [1 per cell]
Sn  0.0000  0.0000  0.6204 [1 per cell]
Au  0.6667  0.3333  0.3029 [1 per cell]
C  0.3333  0.6667  0.9708 [1 per cell]

## Properties
Crystal system = trigonal
Volume = 63.3 Å³ per cell

Model two:
The following is a DFT calculation (GGA-PBE) of an optimized crystal structure of MnSnAuC.

Unit cell a=3.2188 b=3.2188 c=21.2054 alpha=90.00 beta=90.00 gamma=120.00
Space group R3m (No. 160, hexagonal axes)
Inequivalent atoms, fractional coordinates:
Mn  0.0000  0.0000  0.0000 [3 per cell]
Sn  0.0000  0.0000  0.1261 [3 per cell]
Au  0.0000  0.0000  0.5665 [3 per cell]
C  0.0000  0.0000  0.3445 [3 per cell]

## Properties
Crystal system = trigonal
Volume = 190.3 Å³ per cell

Model three:
The following is a DFT calculation (GGA-PBE) of an optimized crystal structure of MnSnAuC.

Unit cell a=3.2696 b=3.2696 c=19.4595 alpha=90.00 beta=90.00 gamma=120.00
Space group R3m (No. 160, hexagonal axes)
Inequivalent atoms, fractional coordinates:
Mn  0.0000  0.0000  0.0000 [3 per cell]
Sn  0.0000  0.0000  0.2258 [3 per cell]
Au  0.0000  0.0000  0.4418 [3 per cell]
C  0.0000  0.0000  0.6629 [3 per cell]

## Properties
Crystal system = trigonal
Volume = 180.2 Å³ per cell

Model four:
The following is a DFT calculation (GGA-PBE) of an optimized crystal structure of MnSnAuC.

Unit cell a=13.029 b=3.062 c=3.524 alpha=90.00 beta=90.16 gamma=90.00
Space group Cm (No. 8)
Inequivalent atoms, fractional coordinates:
Mn  0.000  0.000  0.000 [2 per cell]
Sn  0.307  0.000  0.497 [2 per cell]
Au  0.124  0.500  0.502 [2 per cell]
C  0.408  0.000  0.998 [2 per cell]

## Properties
Crystal system = monoclinic
Volume = 140.6 Å³ per cell

Relative energies in eV/atom: model one 0.000; model two 0.006; model three 0.011; model four 0.086

Model one:
The following is a DFT calculation (GGA-PBE) of an optimized crystal structure of MnSnAuC.

Unit cell a=2.882 b=2.891 c=7.856 alpha=99.19 beta=90.46 gamma=90.01
Space group P1 (No. 1)
Inequivalent atoms, fractional coordinates:
Mn  0.000  0.000  0.000 [1 per cell]
Sn  0.984  0.209  0.376 [1 per cell]
Au  0.493  0.373  0.706 [1 per cell]
C  0.500  0.498  0.998 [1 per cell]

## Properties
Crystal system = triclinic
Volume = 64.6 Å³ per cell

Model two:
The following is a DFT calculation (GGA-PBE) of an optimized crystal structure of MnSnAuC.

Unit cell a=16.271 b=2.872 c=2.875 alpha=90.00 beta=100.00 gamma=90.00
Space group Cm (No. 8)
Inequivalent atoms, fractional coordinates:
Mn  0.000  0.000  0.000 [2 per cell]
Sn  0.318  0.500  0.825 [2 per cell]
Au  0.143  0.500  0.640 [2 per cell]
C  0.001  0.500  0.501 [2 per cell]

## Properties
Crystal system = monoclinic
Volume = 132.3 Å³ per cell

Model three:
The following is a DFT calculation (GGA-PBE) of an optimized crystal structure of MnSnAuC.

Unit cell a=3.2062 b=3.2062 c=7.2758 alpha=90.00 beta=90.00 gamma=120.00
Space group P3m1 (No. 156)
Inequivalent atoms, fractional coordinates:
Mn  0.0000  0.0000  0.0000 [1 per cell]
Sn  0.3333  0.6667  0.7189 [1 per cell]
Au  0.3333  0.6667  0.3469 [1 per cell]
C  0.3333  0.6667  0.0552 [1 per cell]

## Properties
Crystal system = trigonal
Volume = 64.8 Å³ per cell

Relative energies in eV/atom: model one 0.000; model two 0.015; model three 0.036

Model one:
The following is a DFT calculation (GGA-PBE) of an optimized crystal structure of MoAu2C.

Unit cell a=7.795 b=7.795 c=4.267 alpha=90.00 beta=90.00 gamma=90.00
Space group I-42d (No. 122)
Inequivalent atoms, fractional coordinates:
Mo  0.000  0.000  0.000 [4 per cell]
Au  0.142  0.250  0.625 [8 per cell]
C  0.000  0.000  0.500 [4 per cell]

## Properties
Crystal system = tetragonal
Volume = 259.3 Å³ per cell

Model two:
The following is a DFT calculation (GGA-PBE) of an optimized crystal structure of MoAu2C.

Unit cell a=6.312 b=6.312 c=6.312 alpha=90.00 beta=90.00 gamma=90.00
Space group Fm-3m (No. 225)
Inequivalent atoms, fractional coordinates:
Mo  0.000  0.000  0.000 [4 per cell]
Au  0.250  0.250  0.250 [8 per cell]
C  0.000  0.000  0.500 [4 per cell]

## Properties
Crystal system = cubic
Volume = 251.5 Å³ per cell

Relative energies in eV/atom: model one 0.000; model two 0.656